This record from the Alexandria database describes YTh2UP4 after structural relaxation. The functional is PBE. Values from VASP.

The structure in Quantum ESPRESSO input format:
```
&SYSTEM
  ibrav = 0, nat = 8, ntyp = 4
/
ATOMIC_SPECIES
Y 88.91 Y.upf
Th 232.04 Th.upf
U 238.03 U.upf
P 30.97 P.upf
CELL_PARAMETERS angstrom
7.018 0.000 0.000
0.000 4.053 0.000
-2.333 0.000 6.647
ATOMIC_POSITIONS crystal
Y 0.000 0.000 0.000
Th 0.500 0.000 0.500
Th 0.500 0.500 0.000
U 0.000 0.500 0.500
P 0.236 0.000 0.743
P 0.239 0.500 0.250
P 0.761 0.500 0.750
P 0.764 0.000 0.257
```

Values from the calculation:
As for the total energy: -65.5 eV per cell. Its space group is P2/m, No. 10. The energy relative to the elements comes out at -1413 meV/atom.

***

This record from the Alexandria database describes Sc5AgPt after structural relaxation. The functional is PBE. Values from VASP.

The structure in Quantum ESPRESSO input format:
```
&SYSTEM
  ibrav = 0, nat = 14, ntyp = 3
/
ATOMIC_SPECIES
Sc 44.96 Sc.upf
Ag 107.87 Ag.upf
Pt 195.08 Pt.upf
CELL_PARAMETERS angstrom
4.097 -3.373 0.000
4.097 3.373 0.000
-2.268 0.000 11.167
ATOMIC_POSITIONS crystal
Sc 0.005 0.995 0.750
Sc 0.094 0.430 0.625
Sc 0.206 0.512 0.920
Sc 0.430 0.094 0.125
Sc 0.488 0.794 0.580
Sc 0.512 0.206 0.420
Sc 0.570 0.906 0.875
Sc 0.794 0.488 0.080
Sc 0.906 0.570 0.375
Sc 0.995 0.005 0.250
Ag 0.404 0.596 0.250
Ag 0.596 0.404 0.750
Pt 0.000 0.000 0.000
Pt 0.000 0.000 0.500
```

Values from the calculation:
As for the total energy: -85.7 eV per cell. Its space group is C2/c, No. 15. The energy relative to the elements comes out at -330 meV/atom.

***

This record from the Alexandria database describes AcLaAs after structural relaxation. The functional is PBE. Values from VASP.

The structure in Quantum ESPRESSO input format:
```
&SYSTEM
  ibrav = 0, nat = 6, ntyp = 3
/
ATOMIC_SPECIES
Ac 227.00 Ac.upf
La 138.91 La.upf
As 74.92 As.upf
CELL_PARAMETERS angstrom
2.608 1.506 8.501
-2.608 1.506 8.501
0.000 -3.011 8.501
ATOMIC_POSITIONS crystal
Ac 0.123 0.123 0.123
Ac 0.877 0.877 0.877
La 0.373 0.373 0.373
La 0.627 0.627 0.627
As 0.252 0.252 0.252
As 0.748 0.748 0.748
```

Values from the calculation:
The relative energy among the computed polymorphs is 0.251 eV per formula unit. As for the total energy: -32.1 eV per cell. Its space group is R-3m, No. 166. The energy relative to the elements comes out at -782 meV/atom.

***

This record from the Alexandria database describes CeNdTlAg after structural relaxation. The functional is PBE. Values from VASP.

The structure in Quantum ESPRESSO input format:
```
&SYSTEM
  ibrav = 0, nat = 4, ntyp = 4
/
ATOMIC_SPECIES
Ce 140.12 Ce.upf
Nd 144.24 Nd.upf
Tl 204.38 Tl.upf
Ag 107.87 Ag.upf
CELL_PARAMETERS angstrom
3.708 0.000 0.000
0.000 3.708 0.000
0.000 0.000 8.136
ATOMIC_POSITIONS crystal
Ce 0.000 0.000 0.000
Nd 0.000 0.000 0.473
Tl 0.500 0.500 0.737
Ag 0.500 0.500 0.241
```

Values from the calculation:
The relative energy among the computed polymorphs is 0.000 eV per formula unit. As for the total energy: -16.8 eV per cell. Its space group is P4mm, No. 99. The energy relative to the elements comes out at -221 meV/atom.